Density functional theory data (GGA+U) for a relaxed FeRhI2O crystal.

POSCAR file:
```
FeRhI2O
1.0
5.660 0.000 0.000
0.000 5.660 0.000
0.000 0.000 3.764
Fe Rh I O
1 1 2 1
Direct
0.000 0.000 0.000 Fe
0.500 0.500 0.500 Rh
0.000 0.500 0.500 I
0.500 0.000 0.500 I
0.500 0.500 0.000 O
```

energy above the most stable polymorph in this dataset: 0 meV per atom
crystal system: tetragonal
SG: P4/mmm, No. 123
DOS at the Fermi energy: 2.4 states/eV per cell